The following is a PBE calculation of an optimized crystal structure of GdRh2, from Alexandria.

Calculated values
- total energy (eV per atom) = -10.313
- crystal system = cubic

a b c (Å): 5.3604 5.3604 5.3604
angles (deg): 60.00 60.00 60.00
With the nearest neighbours (Å) after each atom.
Sites, in units of the cell vectors:
Gd: 0.0000 0.0000 0.0000  12 Rh 3.14, 4 Gd 3.28
Gd: 0.2500 0.2500 0.2500  12 Rh 3.14, 4 Gd 3.28
Rh: 0.6250 0.6250 0.6250  6 Rh 2.68
Rh: 0.1250 0.6250 0.6250  6 Rh 2.68
Rh: 0.6250 0.1250 0.6250  6 Rh 2.68
Rh: 0.6250 0.6250 0.1250  6 Rh 2.68